No. 1
## GdErMg2Au4 (GGA-PBE)

Data for GdErMg2Au4 after structural relaxation.

Unit cell a=4.8699 b=4.8699 c=6.8880 alpha=90.00 beta=90.00 gamma=90.00
Closest atoms and distances in Å follow each position.
Atoms (fractional coordinates):
Au: 0.5000 0.0000 0.7548  2 Er 2.96, 4 Mg 2.96-3.00, 2 Gd 3.00
Er: 0.0000 0.0000 0.0000  8 Au 2.96
Mg: 0.5000 0.5000 0.0000  8 Au 2.96
Au: 0.0000 0.5000 0.7548  2 Er 2.96, 4 Mg 2.96-3.00, 2 Gd 3.00
Au: 0.0000 0.5000 0.2452  2 Er 2.96, 4 Mg 2.96-3.00, 2 Gd 3.00
Au: 0.5000 0.0000 0.2452  4 Mg 2.96-3.00, 2 Er 2.96, 2 Gd 3.00
Mg: 0.0000 0.0000 0.5000  8 Au 3.00
Gd: 0.5000 0.5000 0.5000  8 Au 3.00

The space-group type is P4/mmm.

---

No. 2
## AlMo4AsN2 (GGA-PBE)

Data for AlMo4AsN2 after structural relaxation.

Unit cell a=2.9539 b=2.9539 c=13.7482 alpha=90.00 beta=90.00 gamma=120.00
Closest atoms and distances in Å follow each position.
Atoms (fractional coordinates):
N: 0.3333 0.6667 0.7448  6 Mo 2.15-2.18
Mo: 0.0000 0.0000 0.6464  3 N 2.18
Mo: 0.6667 0.3333 0.8404  3 N 2.15
Al: 0.0000 0.0000 0.0000  6 Mo 2.78, 6 Al 2.95
Mo: 0.6667 0.3333 0.1596  3 N 2.15
N: 0.3333 0.6667 0.2552  6 Mo 2.15-2.18
As: 0.6667 0.3333 0.5000  6 Mo 2.64, 6 As 2.95
Mo: 0.0000 0.0000 0.3536  3 N 2.18

The space-group type is P-6m2.

---

No. 3
## ReSnOs (GGA-PBE)

Data for ReSnOs after structural relaxation.

Unit cell a=4.3190 b=4.3190 c=4.3190 alpha=60.00 beta=60.00 gamma=60.00
Closest atoms and distances in Å follow each position.
Atoms (fractional coordinates):
Os: 0.0000 0.0000 0.0000  4 Sn 2.64, 4 Re 2.64
Re: 0.2500 0.2500 0.2500  4 Os 2.64
Sn: 0.7500 0.7500 0.7500  4 Os 2.64

The distance to the lowest polymorph of the same formula is 0.00 kcal/mol of atoms. The space-group type is F-43m.

---

no.,raw total energy (Ry per atom)
1,-0.2904
2,-0.6352
3,-0.6484